1 | A geometry-optimized Tl3Pb structure. Source: Alexandria, functional GGA-PBE.

CIF file:
```
data_Tl3Pb
_chemical_formula_sum 'Tl3 Pb1'
_cell_length_a 3.5540
_cell_length_b 3.5540
_cell_length_c 11.3025
_cell_angle_alpha 90.00
_cell_angle_beta 90.00
_cell_angle_gamma 120.00
_space_group_name_H-M_alt 'P -6 m 2'
_space_group_IT_number 187
_space_group_name_Hall 'P -6 2'
loop_
_atom_site_label
_atom_site_type_symbol
_atom_site_fract_x
_atom_site_fract_y
_atom_site_fract_z
Tl1 Tl 0.0000 0.0000 0.0000
Tl2 Tl 0.6667 0.3333 0.2495
Pb1 Pb 0.3333 0.6667 0.5000
```

Summary:
Density of states at the Fermi level ... 2.076 states/eV/cell
Magnetic moment ... 0.000 Bohr magnetons per cell

2 | A geometry-optimized Tl3Pb structure. Source: Alexandria, functional GGA-PBE.

CIF file:
```
data_Tl3Pb
_chemical_formula_sum 'Tl12 Pb4'
_cell_length_a 7.896
_cell_length_b 7.896
_cell_length_c 7.896
_cell_angle_alpha 90.00
_cell_angle_beta 90.00
_cell_angle_gamma 90.00
_space_group_name_H-M_alt 'F m -3 m'
_space_group_IT_number 225
_space_group_name_Hall '-F 4 2 3'
loop_
_atom_site_label
_atom_site_type_symbol
_atom_site_fract_x
_atom_site_fract_y
_atom_site_fract_z
Tl1 Tl 0.000 0.000 0.000
Tl2 Tl 0.250 0.250 0.250
Pb1 Pb 0.000 0.000 0.500
```

Summary:
Density of states at the Fermi level ... 9.361 states/eV/cell
Magnetic moment ... 0.000 Bohr magnetons per cell

3 | A geometry-optimized Tl3Pb structure. Source: Alexandria, functional GGA-PBE.

CIF file:
```
data_Tl3Pb
_chemical_formula_sum 'Tl12 Pb4'
_cell_length_a 9.514
_cell_length_b 9.495
_cell_length_c 5.857
_cell_angle_alpha 90.00
_cell_angle_beta 90.00
_cell_angle_gamma 90.00
_space_group_name_H-M_alt 'C m c m'
_space_group_IT_number 63
_space_group_name_Hall '-C 2c 2'
loop_
_atom_site_label
_atom_site_type_symbol
_atom_site_fract_x
_atom_site_fract_y
_atom_site_fract_z
Tl1 Tl 0.000 0.072 0.250
Tl2 Tl 0.172 0.252 0.750
Pb1 Pb 0.000 0.416 0.250
```

Summary:
Density of states at the Fermi level ... 7.837 states/eV/cell
Magnetic moment ... 0.000 Bohr magnetons per cell

Consider the structures shown above. The least stable of them is 3.